Record 1
The following is a DFT calculation (PBE) of a geometry-optimized Mn2IrRh structure.

The structure in extended XYZ format:
```
4
Lattice="3.0408 0.0000 0.0000 0.0000 3.0408 0.0000 0.0000 0.0000 5.9027" Properties=species:S:1:pos:R:3 pbc="T T T"
Mn 0.0000 0.0000 0.0000
Mn 1.5204 1.5204 1.1937
Ir 1.5204 1.5204 4.4491
Rh 0.0000 0.0000 2.6800
```

Total moment, μB/cell: 0.33
E_tot, eV per cell: -34.5

---

Record 2
The following is a DFT calculation (PBE) of a geometry-optimized LaEuIn structure.

The structure in extended XYZ format:
```
6
Lattice="3.3612 0.0000 0.0000 0.0000 3.3612 0.0000 0.0000 0.0000 18.4704" Properties=species:S:1:pos:R:3 pbc="T T T"
La 0.0000 0.0000 0.0000
La 1.6806 1.6806 9.2352
Eu 0.0000 0.0000 3.4905
Eu 1.6806 1.6806 12.7257
In 0.0000 0.0000 15.2026
In 1.6806 1.6806 5.9673
```

Relative energy among the computed polymorphs, eV per formula unit: 1.18
Total moment, μB/cell: 14.85
E_tot, eV per cell: -34.8

---

Record 3
The following is a DFT calculation (PBE) of a geometry-optimized MgTaAu structure.

The structure in extended XYZ format:
```
6
Lattice="3.0698 0.0000 0.0000 0.0000 3.7859 0.0000 0.0000 0.0000 9.5729" Properties=species:S:1:pos:R:3 pbc="T T T"
Mg 0.7674 0.9465 0.9381
Mg 2.3023 2.8394 8.6349
Ta 0.7674 0.9465 4.0409
Ta 2.3023 2.8394 5.5320
Au 0.7674 0.9465 7.2299
Au 2.3023 2.8394 2.3430
```

Relative energy among the computed polymorphs, eV per formula unit: 0.24
Total moment, μB/cell: 0.00
E_tot, eV per cell: -34.1